Record 1
{"formula": "BeCoSCl2", "functional": "meta-GGA SCAN", "state": "single point on PBEsol structure", "lattice": [[4.1488, 0.0000, 0.0000], [0.0000, 4.1488, 0.0000], [0.0000, 0.0000, 4.8968]], "species": ["Be", "Co", "S", "Cl", "Cl"], "fractional_positions": [[0.0000, 0.0000, 0.0000], [0.5000, 0.5000, 0.5000], [0.0000, 0.0000, 0.5000], [0.0000, 0.5000, 0.0000], [0.5000, 0.0000, 0.0000]], "e_form_raw_ev_per_atom": -0.090, "dos_at_fermi_per_ev_cell": 1.83, "crystal_system": "tetragonal", "total_magnetization_mub_per_fu": 2.99}


Record 2
{"formula": "BeCrCl2", "functional": "meta-GGA SCAN", "state": "single point on PBEsol structure", "lattice": [[2.9454, 0.0000, 0.0000], [0.0000, 2.9454, 0.0000], [0.0000, 0.0000, 6.8856]], "species": ["Be", "Cr", "Cl", "Cl"], "fractional_positions": [[0.0000, 0.0000, 0.0000], [0.5000, 0.5000, 0.8112], [0.0000, 0.0000, 0.6007], [0.5000, 0.5000, 0.1644]], "de_polymorph_ev_per_atom": 0.400, "e_form_raw_ev_per_atom": -0.172, "dos_at_fermi_per_ev_cell": 2.37, "crystal_system": "tetragonal", "total_magnetization_mub_per_fu": 1.96}


Record 3
{"formula": "BeCr2Cl", "functional": "meta-GGA SCAN", "state": "single point on PBEsol structure", "lattice": [[1.4468, -2.3887, 0.0000], [1.4468, 2.3887, 0.0000], [0.0000, 0.0000, 7.6235]], "species": ["Be", "Cr", "Cr", "Cl"], "fractional_positions": [[0.0000, 0.0000, 0.0000], [0.0000, 0.0000, 0.5449], [0.5000, 0.5000, 0.7500], [0.5000, 0.5000, 0.1882]], "de_polymorph_ev_per_atom": 0.030, "e_form_raw_ev_per_atom": 0.356, "dos_at_fermi_per_ev_cell": 1.87, "crystal_system": "orthorhombic", "total_magnetization_mub_per_fu": 0.00}


Record 4
{"formula": "BeCrCl2", "functional": "meta-GGA SCAN", "state": "single point on PBEsol structure", "lattice": [[2.6716, -1.5426, 0.0000], [2.6716, 1.5426, 0.0000], [-1.8868, 0.0000, 7.8640]], "species": ["Be", "Cr", "Cl", "Cl"], "fractional_positions": [[0.0000, 0.0000, 0.0000], [0.4155, 0.4155, 0.2316], [0.2787, 0.2787, 0.8452], [0.8128, 0.8128, 0.4128]], "de_polymorph_ev_per_atom": 0.000, "e_form_raw_ev_per_atom": -0.572, "dos_at_fermi_per_ev_cell": 0.95, "crystal_system": "monoclinic", "total_magnetization_mub_per_fu": 2.06}


Record 5
{"formula": "BeCrCl2", "functional": "meta-GGA SCAN", "state": "single point on PBEsol structure", "lattice": [[1.5282, 0.8823, 8.0081], [-1.5282, 0.8823, 8.0081], [0.0000, -1.7646, 8.0081]], "species": ["Be", "Cr", "Cl", "Cl"], "fractional_positions": [[0.0000, 0.0000, 0.0000], [0.7476, 0.7476, 0.7476], [0.2814, 0.2814, 0.2814], [0.4731, 0.4731, 0.4731]], "de_polymorph_ev_per_atom": 0.069, "e_form_raw_ev_per_atom": -0.503, "dos_at_fermi_per_ev_cell": 0.70, "crystal_system": "trigonal", "total_magnetization_mub_per_fu": 2.00}


Record 6
{"formula": "BeCr2Cl", "functional": "meta-GGA SCAN", "state": "single point on PBEsol structure", "lattice": [[3.4656, -1.6390, 0.0000], [3.4656, 1.6390, 0.0000], [-3.2240, 0.0000, 5.6260]], "species": ["Be", "Cr", "Cr", "Cl"], "fractional_positions": [[0.0000, 0.0000, 0.0000], [0.3605, 0.3605, 0.1096], [0.6395, 0.6395, 0.8904], [0.5000, 0.5000, 0.5000]], "de_polymorph_ev_per_atom": 0.000, "e_form_raw_ev_per_atom": 0.327, "dos_at_fermi_per_ev_cell": 1.88, "crystal_system": "monoclinic", "total_magnetization_mub_per_fu": 0.00}